(1)
DFT (PBE) results for crystalline Ta3CrMo at its relaxed geometry.

## Properties
formation energy = 5.8 eV per formula unit
electronic total energy = -10.05 eV/atom

Cell lengths 4.562, 4.562, 4.562 Å; angles 90.00, 90.00, 90.00 degrees
Element x y z (fractional)
Cr 0.000 0.000 0.000
Mo 0.500 0.500 0.500
Ta 0.000 0.500 0.000
Ta 0.000 0.000 0.500
Ta 0.500 0.000 0.000

---

(2)
DFT (PBE) results for crystalline TaCrMo2 at its relaxed geometry.

## Properties
formation energy = 0.0 eV per formula unit
electronic total energy = -10.79 eV/atom

Cell lengths 4.393, 2.761, 5.178 Å; angles 79.83, 90.00, 90.00 degrees
Element x y z (fractional)
Cr 0.500 0.757 0.750
Mo 0.000 0.999 0.997
Mo 0.500 0.243 0.247
Ta 0.000 0.502 0.506

---

(3)
DFT (PBE) results for crystalline TaCr2Mo2 at its relaxed geometry.

## Properties
formation energy = 2.8 eV per formula unit
electronic total energy = -9.99 eV/atom

Cell lengths 4.073, 4.073, 5.613 Å; angles 68.72, 68.72, 90.00 degrees
Element x y z (fractional)
Cr 0.389 0.389 0.223
Cr 0.611 0.611 0.777
Mo 0.750 0.250 0.500
Mo 0.250 0.750 0.500
Ta 0.000 0.000 0.000

---

(4)
DFT (PBE) results for crystalline TaCr3Mo at its relaxed geometry.

## Properties
formation energy = 7.6 eV per formula unit
electronic total energy = -8.79 eV/atom

Cell lengths 4.434, 4.434, 4.434 Å; angles 90.00, 90.00, 90.00 degrees
Site moments in Bohr magnetons follow the coordinates.
Element x y z (fractional)
Cr 0.000 0.500 0.000  1.63
Cr 0.000 0.000 0.500  1.48
Cr 0.500 0.000 0.000  1.73
Mo 0.000 0.000 0.000  -0.44
Ta 0.500 0.500 0.500  -0.56

---

(5)
DFT (PBE) results for crystalline Ta4CrMo at its relaxed geometry.

## Properties
formation energy = -0.4 eV per formula unit
electronic total energy = -11.39 eV/atom

Cell lengths 3.200, 3.200, 9.792 Å; angles 90.00, 90.00, 90.00 degrees
Element x y z (fractional)
Ta 0.500 0.500 0.847
Ta 0.500 0.500 0.153
Ta 0.000 0.000 0.663
Ta 0.000 0.000 0.337
Cr 0.000 0.000 0.000
Mo 0.500 0.500 0.500

---

(6)
DFT (PBE) results for crystalline TaCrMo2 at its relaxed geometry.

## Properties
formation energy = -0.2 eV per formula unit
electronic total energy = -10.84 eV/atom

Cell lengths 3.130, 3.130, 6.281 Å; angles 90.00, 90.00, 90.00 degrees
Element x y z (fractional)
Cr 0.500 0.500 0.756
Mo 0.000 0.000 0.992
Mo 0.500 0.500 0.243
Ta 0.000 0.000 0.509

---

(7)
DFT (PBE) results for crystalline Ta5CrMo4 at its relaxed geometry.

## Properties
formation energy = -1.5 eV per formula unit
electronic total energy = -11.37 eV/atom

Cell lengths 3.210, 3.210, 16.009 Å; angles 90.00, 90.00, 90.00 degrees
Element x y z (fractional)
Ta 0.500 0.500 0.095
Ta 0.500 0.500 0.297
Ta 0.500 0.500 0.500
Ta 0.500 0.500 0.703
Ta 0.500 0.500 0.905
Cr 0.000 0.000 0.000
Mo 0.000 0.000 0.196
Mo 0.000 0.000 0.399
Mo 0.000 0.000 0.601
Mo 0.000 0.000 0.804

---

(8)
DFT (PBE) results for crystalline TaCrMo at its relaxed geometry.

## Properties
formation energy = 1.0 eV per formula unit
electronic total energy = -10.45 eV/atom

Cell lengths 2.968, 2.968, 6.196 Å; angles 90.00, 90.00, 120.00 degrees
Element x y z (fractional)
Cr 0.000 0.000 0.011
Mo 0.667 0.333 0.310
Ta 0.333 0.667 0.680

---

(9)
DFT (PBE) results for crystalline TaCrMo3 at its relaxed geometry.

## Properties
formation energy = 11.2 eV per formula unit
electronic total energy = -8.54 eV/atom

Cell lengths 4.703, 4.703, 4.703 Å; angles 90.00, 90.00, 90.00 degrees
Element x y z (fractional)
Cr 0.500 0.500 0.500
Mo 0.000 0.500 0.000
Mo 0.000 0.000 0.500
Mo 0.500 0.000 0.000
Ta 0.000 0.000 0.000

---

(10)
DFT (PBE) results for crystalline TaCrMo2 at its relaxed geometry.

## Properties
formation energy = 0.0 eV per formula unit
electronic total energy = -10.78 eV/atom

Cell lengths 2.755, 2.755, 8.675 Å; angles 90.00, 90.00, 110.21 degrees
Element x y z (fractional)
Cr 0.500 0.500 0.750
Mo 0.000 0.000 0.982
Mo 0.000 0.000 0.518
Ta 0.500 0.500 0.250

---

(11)
DFT (PBE) results for crystalline TaCrMo2 at its relaxed geometry.

## Properties
formation energy = -0.2 eV per formula unit
electronic total energy = -10.83 eV/atom

Cell lengths 4.430, 4.430, 4.430 Å; angles 60.00, 60.00, 60.00 degrees
Element x y z (fractional)
Cr 0.500 0.500 0.500
Mo 0.000 0.000 0.000
Mo 0.250 0.250 0.250
Ta 0.750 0.750 0.750

---

(12)
DFT (PBE) results for crystalline TaCrMo at its relaxed geometry.

## Properties
formation energy = -0.1 eV per formula unit
electronic total energy = -10.82 eV/atom

Cell lengths 9.427, 4.431, 4.389 Å; angles 90.00, 90.00, 90.00 degrees
Element x y z (fractional)
Cr 0.173 0.000 0.500
Cr 0.827 0.000 0.500
Cr 0.673 0.500 0.500
Cr 0.327 0.500 0.500
Mo 0.673 0.000 0.000
Mo 0.327 0.000 0.000
Mo 0.173 0.500 0.000
Mo 0.827 0.500 0.000
Ta 0.500 0.000 0.500
Ta 0.000 0.500 0.500
Ta 0.000 0.000 0.000
Ta 0.500 0.500 0.000